Entry 1:
DFT (PBE-GGA) results for crystalline YZrAlF2 at its relaxed geometry.

The uncorrected formation energy is -1.31 eV per atom. Its density of states at the Fermi level is 1.00 states/eV/atom. The magnetic moment comes out at 1.3 μB/cell. The density is 3.32 Mg/m³.

The structure belongs to space group P4/mmm (No. 123); the cell edges are 4.215, 4.215 and 6.895 Å and the angles 90.00°, 90.00° and 90.00°. The inequivalent atoms are Y at (0.000, 0.000, 0.000), Zr at (0.000, 0.000, 0.500), Al at (0.500, 0.500, 0.000) and F at (0.000, 0.500, 0.500).

Entry 2:
DFT (PBE-GGA) results for crystalline ZrFeP2S at its relaxed geometry.

The energy above the most stable polymorph in this dataset is 0 meV/atom. The uncorrected formation energy is 0.05 eV per atom. Its density of states at the Fermi level is 1.02 states/eV/atom. The magnetic moment comes out at 1.3 μB/cell. The density is 4.69 Mg/m³.

The structure belongs to space group P4/mmm (No. 123); the cell edges are 4.230, 4.230 and 4.772 Å and the angles 90.00°, 90.00° and 90.00°. The inequivalent atoms are Zr at (0.000, 0.000, 0.000), Fe at (0.500, 0.500, 0.500), P at (0.000, 0.500, 0.500) and S at (0.500, 0.500, 0.000).

Entry 3:
DFT (PBE-GGA) results for crystalline AcLaPS at its relaxed geometry.

The uncorrected formation energy is -1.86 eV per atom. Its density of states at the Fermi level is 0.47 states/eV/atom. The magnetic moment comes out at 0.0 μB/cell. The density is 6.32 Mg/m³.

The structure belongs to space group R3m (No. 160, hexagonal axes); the cell edges are 4.3000, 4.3000 and 21.0988 Å and the angles 90.00°, 90.00° and 120.00°. The inequivalent atoms are Ac at (0.0000, 0.0000, 0.0000), La at (0.0000, 0.0000, 0.4958), P at (0.0000, 0.0000, 0.7514) and S at (0.0000, 0.0000, 0.2448).